1.
Crystalline Ho5SnRu at its relaxed geometry. Source: Alexandria via LeMat-Bulk, functional PBE-GGA.

Properties
Energy of formation, eV per atom: -0.222

Lattice parameters (Å, degrees): 6.369 6.369 11.230 74.92 74.92 65.15
Atoms (fractional coordinates):
Sn (0.533, 0.467, 0.750)
Sn (0.467, 0.533, 0.250)
Ho (0.030, 0.970, 0.750)
Ho (0.786, 0.458, 0.458)
Ho (0.542, 0.214, 0.042)
Ho (0.030, 0.405, 0.860)
Ho (0.970, 0.595, 0.140)
Ho (0.458, 0.786, 0.958)
Ho (0.970, 0.030, 0.250)
Ho (0.595, 0.970, 0.640)
Ho (0.214, 0.542, 0.542)
Ho (0.405, 0.030, 0.360)
Ru (0.000, 0.000, 0.000)
Ru (0.000, 0.000, 0.500)

***

2.
Crystalline AgSbPb4 at its relaxed geometry. Source: Alexandria via LeMat-Bulk, functional PBE-GGA.

Properties
Excess energy over the best structure of this formula in the dataset, meV per atom: 0
E_form (uncorrected), eV per atom: 0.06

Lattice parameters (Å, degrees): 5.879 9.020 8.356 115.67 100.85 107.63
Atoms (fractional coordinates):
Ag (0.740, 0.990, 0.980)
Ag (0.260, 0.010, 0.020)
Pb (0.778, 0.700, 0.636)
Pb (0.062, 0.216, 0.840)
Pb (0.222, 0.300, 0.364)
Pb (0.358, 0.935, 0.636)
Pb (0.642, 0.065, 0.364)
Pb (0.277, 0.624, 0.840)
Pb (0.723, 0.376, 0.160)
Pb (0.938, 0.784, 0.160)
Sb (0.629, 0.379, 0.758)
Sb (0.371, 0.621, 0.242)

***

no.,VASP energy (eV per atom)
1,-5.39
2,-3.58